Entry 1:
# RbZnSn2

A geometry-optimized RbZnSn2 structure (PBE-GGA, Alexandria).

It has space group R3m (No. 160, hexagonal axes), with a = 4.6008 Å, b = 4.6008 Å, c = 22.4666 Å, α = 90.00°, β = 90.00° and γ = 120.00°. The distinct sites, in fractional coordinates, are Rb at (0.0000, 0.0000, 0.0000), Zn at (0.0000, 0.0000, 0.1777), Sn at (0.0000, 0.0000, 0.5475) and Sn at (0.0000, 0.0000, 0.7940).

Entry 2:
# CaTb2Pa

A geometry-optimized CaTb2Pa structure (PBE-GGA, Alexandria).

As for the relative energy among the computed polymorphs: 75.8 meV per atom.

It has space group R-3m (No. 166, hexagonal axes), with a = 3.4667 Å, b = 3.4667 Å, c = 36.4446 Å, α = 90.00°, β = 90.00° and γ = 120.00°. The distinct sites, in fractional coordinates, are Ca at (0.0000, 0.0000, 0.0000), Tb at (0.0000, 0.0000, 0.0928) and Pa at (0.0000, 0.0000, 0.5000).

Entry 3:
# RbHW

A geometry-optimized RbHW structure (PBE-GGA, Alexandria).

As for the relative energy among the computed polymorphs: 156.3 meV per atom.

It has space group Pm (No. 6), with a = 3.2856 Å, b = 3.9520 Å, c = 11.2222 Å, α = 90.00°, β = 91.32° and γ = 90.00°. The distinct sites, in fractional coordinates, are Rb at (0.0000, 0.0000, 0.0000), Rb at (0.4530, 0.5000, 0.4167), H at (0.4924, 0.5000, 0.9020), H at (0.9712, 0.5000, 0.6366), W at (0.4796, 0.5000, 0.7425) and W at (0.9753, 0.0000, 0.6886).

Entry 4:
# BaNaCa2

A geometry-optimized BaNaCa2 structure (PBE-GGA, Alexandria).

As for the relative energy among the computed polymorphs: 21.7 meV per atom.

It has space group P4/mmm (No. 123), with a = 4.3338 Å, b = 4.3338 Å, c = 9.8228 Å, α = 90.00°, β = 90.00° and γ = 90.00°. The distinct sites, in fractional coordinates, are Ba at (0.0000, 0.0000, 0.0000), Na at (0.0000, 0.0000, 0.5000) and Ca at (0.5000, 0.5000, 0.2889).

Number 1: DFT total energy -31.38 eV per cell, ρ 4.697 g/cm³. Number 2: DFT total energy -59.58 eV per cell, ρ 7.735 g/cm³. Number 3: DFT total energy -31.53 eV per cell, ρ 6.162 g/cm³. Number 4: DFT total energy -7.01 eV per cell, ρ 2.164 g/cm³.